No. 1
{
  "formula": "LiMn2P3O10",
  "functional": "SCAN",
  "state": "single point on PBEsol structure",
  "formation_energy_uncorrected_ev_per_atom": -2.460,
  "cell": [[4.637, 0.000, 0.000], [0.000, 8.653, 0.000], [-1.191, 0.000, 9.028]],
  "species": ["Li", "Li", "Mn", "Mn", "Mn", "Mn", "P", "P", "P", "P", "P", "P", "O", "O", "O", "O", "O", "O", "O", "O", "O", "O", "O", "O", "O", "O", "O", "O", "O", "O", "O", "O"],
  "frac_coords": [[0.000, 0.000, 0.000], [0.000, 0.500, 0.000], [0.035, 0.064, 0.332], [0.035, 0.436, 0.332], [0.965, 0.564, 0.668], [0.965, 0.936, 0.668], [0.331, 0.250, 0.825], [0.400, 0.750, 0.465], [0.458, 0.250, 0.140], [0.542, 0.750, 0.860], [0.600, 0.250, 0.535], [0.669, 0.750, 0.175], [0.157, 0.102, 0.819], [0.157, 0.398, 0.819], [0.227, 0.602, 0.483], [0.227, 0.898, 0.483], [0.247, 0.750, 0.762], [0.282, 0.103, 0.151], [0.282, 0.397, 0.151], [0.300, 0.250, 0.444], [0.442, 0.750, 0.027], [0.446, 0.750, 0.291], [0.554, 0.250, 0.709], [0.558, 0.250, 0.973], [0.700, 0.750, 0.556], [0.718, 0.603, 0.849], [0.718, 0.897, 0.849], [0.753, 0.250, 0.238], [0.773, 0.102, 0.517], [0.773, 0.398, 0.517], [0.843, 0.602, 0.181], [0.843, 0.898, 0.181]]
}



No. 2
{
  "formula": "BaTa2BW",
  "functional": "SCAN",
  "state": "single point on PBEsol structure",
  "formation_enthalpy_0k_ev_per_atom": 3.66,
  "cell": [[5.095, 0.000, 0.000], [0.000, 5.095, 0.000], [0.000, 0.000, 4.045]],
  "species": ["Ba", "Ta", "Ta", "B", "W"],
  "frac_coords": [[0.000, 0.000, 0.000], [0.000, 0.500, 0.000], [0.500, 0.000, 0.000], [0.000, 0.000, 0.500], [0.500, 0.500, 0.500]]
}



No. 3
{
  "formula": "LiCrP",
  "functional": "SCAN",
  "state": "single point on PBEsol structure",
  "formation_enthalpy_0k_ev_per_atom": -0.49,
  "cell": [[5.532, 0.000, 0.000], [0.000, 5.532, 0.000], [0.000, 0.000, 5.532]],
  "species": ["Li", "Li", "Li", "Li", "Cr", "Cr", "Cr", "Cr", "P", "P", "P", "P"],
  "frac_coords": [[0.000, 0.000, 0.000], [0.000, 0.500, 0.500], [0.500, 0.000, 0.500], [0.500, 0.500, 0.000], [0.000, 0.000, 0.500], [0.000, 0.500, 0.000], [0.500, 0.000, 0.000], [0.500, 0.500, 0.500], [0.250, 0.250, 0.750], [0.250, 0.750, 0.250], [0.750, 0.250, 0.250], [0.750, 0.750, 0.750]]
}



No. 4
{
  "formula": "Li2Y",
  "functional": "SCAN",
  "state": "single point on PBEsol structure",
  "formation_enthalpy_0k_ev_per_atom": 0.16,
  "cell": [[11.195, 0.000, 0.000], [0.000, 3.405, 0.000], [-2.537, 0.000, 7.474]],
  "species": ["Li", "Li", "Li", "Li", "Li", "Li", "Li", "Li", "Y", "Y", "Y", "Y"],
  "frac_coords": [[0.000, 0.000, 0.000], [0.000, 0.000, 0.500], [0.147, 0.500, 0.356], [0.353, 0.000, 0.644], [0.500, 0.500, 0.000], [0.500, 0.500, 0.500], [0.647, 0.000, 0.356], [0.853, 0.500, 0.644], [0.177, 0.500, 0.815], [0.323, 0.000, 0.185], [0.677, 0.000, 0.815], [0.823, 0.500, 0.185]]
}



No. 5
{
  "formula": "AgAsPt2",
  "functional": "SCAN",
  "state": "single point on PBEsol structure",
  "formation_enthalpy_0k_ev_per_atom": 0.01,
  "cell": [[8.865, 0.000, 0.000], [0.000, 2.924, 0.000], [-0.943, 0.000, 4.856]],
  "species": ["Ag", "Ag", "As", "As", "Pt", "Pt", "Pt", "Pt"],
  "frac_coords": [[0.000, 0.000, 0.000], [0.500, 0.500, 0.000], [0.000, 0.500, 0.500], [0.500, 0.000, 0.500], [0.245, 0.000, 0.741], [0.255, 0.500, 0.259], [0.745, 0.500, 0.741], [0.755, 0.000, 0.259]]
}



No. 6
{
  "formula": "Zr2RhCl",
  "functional": "SCAN",
  "state": "single point on PBEsol structure",
  "formation_energy_uncorrected_ev_per_atom": -0.922,
  "cell": [[7.193, 0.000, 0.000], [0.000, 3.477, 0.000], [-3.453, 0.000, 6.851]],
  "species": ["Zr", "Zr", "Zr", "Zr", "Rh", "Rh", "Cl", "Cl"],
  "frac_coords": [[0.213, 0.000, 0.304], [0.287, 0.500, 0.696], [0.713, 0.500, 0.304], [0.787, 0.000, 0.696], [0.000, 0.000, 0.500], [0.500, 0.500, 0.500], [0.000, 0.500, 0.000], [0.500, 0.000, 0.000]]
}



No. 7
{
  "formula": "TiCuAs2Se",
  "functional": "SCAN",
  "state": "single point on PBEsol structure",
  "formation_energy_uncorrected_ev_per_atom": 0.362,
  "cell": [[4.813, 0.000, 0.000], [0.000, 4.813, 0.000], [0.000, 0.000, 4.759]],
  "species": ["Ti", "Cu", "As", "As", "Se"],
  "frac_coords": [[0.000, 0.000, 0.000], [0.500, 0.500, 0.500], [0.000, 0.500, 0.000], [0.500, 0.000, 0.000], [0.000, 0.000, 0.500]]
}



No. 8
{
  "formula": "Zr2ScTe",
  "functional": "SCAN",
  "state": "single point on PBEsol structure",
  "formation_energy_uncorrected_ev_per_atom": -0.392,
  "cell": [[6.026, 0.000, 0.000], [0.000, 8.333, 0.000], [0.000, 0.000, 3.438]],
  "species": ["Zr", "Zr", "Zr", "Zr", "Sc", "Sc", "Te", "Te"],
  "frac_coords": [[0.250, 0.250, 0.000], [0.250, 0.750, 0.000], [0.750, 0.250, 0.000], [0.750, 0.750, 0.000], [0.000, 0.000, 0.500], [0.500, 0.500, 0.500], [0.000, 0.500, 0.500], [0.500, 0.000, 0.500]]
}



No. 9
{
  "formula": "KLa2Au",
  "functional": "SCAN",
  "state": "single point on PBEsol structure",
  "formation_enthalpy_0k_ev_per_atom": -0.03,
  "cell": [[5.199, 0.000, 0.000], [0.000, 5.199, 0.000], [0.000, 0.000, 4.343]],
  "species": ["K", "La", "La", "Au"],
  "frac_coords": [[0.000, 0.000, 0.000], [0.000, 0.500, 0.500], [0.500, 0.000, 0.500], [0.500, 0.500, 0.000]]
}



No. 10
{
  "formula": "Cs2NaAuBr6",
  "functional": "SCAN",
  "state": "single point on PBEsol structure",
  "formation_energy_uncorrected_ev_per_atom": -1.189,
  "cell": [[0.000, 5.460, 5.460], [5.460, 0.000, 5.460], [5.460, 5.460, 0.000]],
  "species": ["Cs", "Cs", "Na", "Au", "Br", "Br", "Br", "Br", "Br", "Br"],
  "frac_coords": [[0.250, 0.250, 0.250], [0.750, 0.750, 0.750], [0.000, 0.000, 0.000], [0.500, 0.500, 0.500], [0.261, 0.261, 0.739], [0.261, 0.739, 0.261], [0.261, 0.739, 0.739], [0.739, 0.261, 0.261], [0.739, 0.261, 0.739], [0.739, 0.739, 0.261]]
}



No. 11
{
  "formula": "ZrHS3",
  "functional": "SCAN",
  "state": "single point on PBEsol structure",
  "energy_ev_per_atom": -12.445,
  "cell": [[4.079, 0.000, 0.000], [0.000, 4.079, 0.000], [0.000, 0.000, 4.079]],
  "species": ["Zr", "H", "S", "S", "S"],
  "frac_coords": [[0.000, 0.000, 0.000], [0.500, 0.500, 0.500], [0.000, 0.500, 0.500], [0.500, 0.000, 0.500], [0.500, 0.500, 0.000]]
}



No. 12
{
  "formula": "K2AlW",
  "functional": "SCAN",
  "state": "single point on PBEsol structure",
  "formation_enthalpy_0k_ev_per_atom": 1.32,
  "cell": [[5.605, 0.000, 0.000], [0.000, 11.861, 0.000], [0.000, 0.000, 2.778]],
  "species": ["K", "K", "K", "K", "Al", "Al", "W", "W"],
  "frac_coords": [[0.250, 0.250, 0.000], [0.250, 0.750, 0.000], [0.750, 0.250, 0.000], [0.750, 0.750, 0.000], [0.000, 0.000, 0.500], [0.500, 0.500, 0.500], [0.000, 0.500, 0.500], [0.500, 0.000, 0.500]]
}



No. 13
{
  "formula": "ScCu2",
  "functional": "SCAN",
  "state": "single point on PBEsol structure",
  "formation_enthalpy_0k_ev_per_atom": -0.26,
  "cell": [[5.000, 0.000, 0.000], [0.000, 4.343, 0.000], [0.000, 0.000, 8.039]],
  "species": ["Sc", "Sc", "Sc", "Sc", "Cu", "Cu", "Cu", "Cu", "Cu", "Cu", "Cu", "Cu"],
  "frac_coords": [[0.125, 0.250, 0.131], [0.375, 0.750, 0.631], [0.625, 0.250, 0.369], [0.875, 0.750, 0.869], [0.131, 0.250, 0.491], [0.239, 0.750, 0.310], [0.261, 0.250, 0.810], [0.369, 0.750, 0.991], [0.631, 0.250, 0.009], [0.739, 0.750, 0.190], [0.761, 0.250, 0.690], [0.869, 0.750, 0.509]]
}



No. 14
{
  "formula": "LiCaSb2",
  "functional": "SCAN",
  "state": "single point on PBEsol structure",
  "formation_energy_uncorrected_ev_per_atom": -0.689,
  "cell": [[4.729, 0.000, 0.000], [0.000, 4.729, 0.000], [0.000, 0.000, 4.367]],
  "species": ["Li", "Ca", "Sb", "Sb"],
  "frac_coords": [[0.000, 0.000, 0.000], [0.500, 0.500, 0.000], [0.000, 0.500, 0.500], [0.500, 0.000, 0.500]]
}



No. 15
{
  "formula": "LaSbW2",
  "functional": "SCAN",
  "state": "single point on PBEsol structure",
  "formation_energy_uncorrected_ev_per_atom": 0.784,
  "cell": [[4.650, 0.000, 0.000], [0.000, 4.650, 0.000], [0.000, 0.000, 7.511]],
  "species": ["La", "La", "Sb", "Sb", "W", "W", "W", "W"],
  "frac_coords": [[0.000, 0.000, 0.000], [0.500, 0.500, 0.500], [0.000, 0.500, 0.250], [0.500, 0.000, 0.750], [0.000, 0.000, 0.500], [0.000, 0.500, 0.750], [0.500, 0.000, 0.250], [0.500, 0.500, 0.000]]
}



No. 16
{
  "formula": "Pm2SnPd",
  "functional": "SCAN",
  "state": "single point on PBEsol structure",
  "formation_enthalpy_0k_ev_per_atom": -0.80,
  "cell": [[7.363, 0.000, 0.000], [0.000, 7.363, 0.000], [0.000, 0.000, 7.363]],
  "species": ["Pm", "Pm", "Pm", "Pm", "Pm", "Pm", "Pm", "Pm", "Sn", "Sn", "Sn", "Sn", "Pd", "Pd", "Pd", "Pd"],
  "frac_coords": [[0.250, 0.250, 0.250], [0.250, 0.250, 0.750], [0.250, 0.750, 0.250], [0.250, 0.750, 0.750], [0.750, 0.250, 0.250], [0.750, 0.250, 0.750], [0.750, 0.750, 0.250], [0.750, 0.750, 0.750], [0.000, 0.000, 0.000], [0.000, 0.500, 0.500], [0.500, 0.000, 0.500], [0.500, 0.500, 0.000], [0.000, 0.000, 0.500], [0.000, 0.500, 0.000], [0.500, 0.000, 0.000], [0.500, 0.500, 0.500]]
}



No. 17
{
  "formula": "Fe2AsRu",
  "functional": "SCAN",
  "state": "single point on PBEsol structure",
  "formation_enthalpy_0k_ev_per_atom": -0.05,
  "cell": [[3.583, 0.000, 0.000], [0.000, 3.583, 0.000], [0.000, 0.000, 3.888]],
  "species": ["Fe", "Fe", "As", "Ru"],
  "frac_coords": [[0.000, 0.500, 0.000], [0.500, 0.000, 0.000], [0.000, 0.000, 0.500], [0.500, 0.500, 0.500]]
}



No. 18
{
  "formula": "ReAg2Cl",
  "functional": "SCAN",
  "state": "single point on PBEsol structure",
  "formation_energy_uncorrected_ev_per_atom": 0.546,
  "cell": [[2.819, 0.000, 0.000], [0.000, 2.819, 0.000], [0.000, 0.000, 8.216]],
  "species": ["Re", "Ag", "Ag", "Cl"],
  "frac_coords": [[0.000, 0.000, 0.000], [0.500, 0.500, 0.247], [0.500, 0.500, 0.753], [0.000, 0.000, 0.500]]
}



No. 19
{
  "formula": "La3IrPb",
  "functional": "SCAN",
  "state": "single point on PBEsol structure",
  "formation_enthalpy_0k_ev_per_atom": -0.85,
  "cell": [[7.799, 0.000, 0.000], [-3.900, 6.754, 0.000], [0.000, 0.000, 5.677]],
  "species": ["La", "La", "La", "La", "La", "La", "Ir", "Ir", "Pb", "Pb"],
  "frac_coords": [[0.120, 0.359, 0.250], [0.239, 0.880, 0.250], [0.359, 0.239, 0.750], [0.641, 0.761, 0.250], [0.761, 0.120, 0.750], [0.880, 0.641, 0.750], [0.000, 0.000, 0.000], [0.000, 0.000, 0.500], [0.333, 0.667, 0.750], [0.667, 0.333, 0.250]]
}



No. 20
{
  "formula": "CaSc2Rh",
  "functional": "SCAN",
  "state": "single point on PBEsol structure",
  "formation_enthalpy_0k_ev_per_atom": -0.36,
  "cell": [[3.837, 0.000, 0.000], [-1.919, 3.323, 0.000], [0.000, 0.000, 25.041]],
  "species": ["Ca", "Ca", "Ca", "Sc", "Sc", "Sc", "Sc", "Sc", "Sc", "Rh", "Rh", "Rh"],
  "frac_coords": [[0.000, 0.000, 0.000], [0.333, 0.667, 0.667], [0.667, 0.333, 0.333], [0.000, 0.000, 0.218], [0.000, 0.000, 0.782], [0.333, 0.667, 0.449], [0.333, 0.667, 0.885], [0.667, 0.333, 0.115], [0.667, 0.333, 0.551], [0.000, 0.000, 0.500], [0.333, 0.667, 0.167], [0.667, 0.333, 0.833]]
}